No. 1
Material: Th3Si2PRh9
Method: DFT, PBE
State: optimized geometry

Fermi-level density of states ... 7.4 states/eV per cell
E_form (uncorrected) ... -0.806 eV per atom
E ... -116.8 eV per cell
V ... 279.8 Å³/cell

Geometry as extended XYZ:
```
15
Lattice="-0.570 -5.774 0.592 5.119 2.555 1.129 -2.590 1.184 9.062" Properties=species:S:1:pos:R:3 pbc="T T T"
Rh 2.931 -1.231 4.556
Si -0.815 -2.018 8.263
Rh 2.559 1.278 0.565
Rh -1.245 -3.564 6.510
Th 1.425 0.601 7.238
Rh -0.285 -2.887 0.296
P -1.295 0.592 4.531
Rh 2.274 -1.609 0.860
Rh -0.973 -0.803 6.227
Rh 3.204 1.530 4.273
Rh 1.202 -2.342 7.050
Si 2.774 -0.016 2.520
Th 0.000 0.000 0.000
Th 0.534 -2.635 3.544
Rh 0.756 0.308 3.733
```


No. 2
Material: AcPm4Sn4
Method: DFT, PBE
State: optimized geometry

Fermi-level density of states ... 19.9 states/eV per cell
Formation enthalpy at 0 K ... -46 kJ/mol of atoms
E ... -86.7 eV per cell
V ... 662.9 Å³/cell

Geometry as extended XYZ:
```
18
Lattice="6.296 0.000 0.000 0.000 10.261 0.000 0.000 0.000 10.261" Properties=species:S:1:pos:R:3 pbc="T T T"
Pm 0.697 8.754 4.009
Ac 0.000 0.000 0.000
Pm 5.600 6.252 8.754
Pm 3.845 9.140 6.637
Sn 0.625 1.538 3.061
Sn 3.773 2.070 6.669
Sn 2.523 6.669 8.191
Sn 0.625 8.722 7.200
Sn 5.671 3.061 8.722
Sn 5.671 7.200 1.538
Pm 2.452 6.637 1.121
Pm 0.697 1.507 6.252
Sn 3.773 8.191 3.592
Pm 3.845 1.121 3.623
Ac 3.148 5.130 5.130
Sn 2.523 3.592 2.070
Pm 2.452 3.623 9.140
Pm 5.600 4.009 1.507
```


No. 3
Material: Ce3Ho2Se8
Method: DFT, PBE
State: optimized geometry

Fermi-level density of states ... 15.6 states/eV per cell
E_form (uncorrected) ... -1.773 eV per atom
E ... -77.9 eV per cell
V ... 420.9 Å³/cell

Geometry as extended XYZ:
```
13
Lattice="7.046 0.012 2.172 1.423 7.141 4.121 0.126 -0.084 8.365" Properties=species:S:1:pos:R:3 pbc="T T T"
Ce 1.091 5.290 5.208
Se 2.031 2.607 5.058
Ce 3.523 0.006 1.086
Ho 1.351 5.256 9.359
Se 5.489 0.861 3.142
Se 2.942 6.365 7.226
Se 5.653 0.704 7.432
Se 3.106 6.208 11.516
Ce 0.459 1.768 7.277
Ho 7.244 1.813 5.298
Se 2.252 2.520 9.484
Se 6.563 4.462 9.599
Se 6.343 4.549 5.173
```


No. 4
Material: NpFe2Ni
Method: DFT, PBE
State: optimized geometry

Fermi-level density of states ... 2.7 states/eV per cell
Formation enthalpy at 0 K ... -5 kJ/mol of atoms
E ... -35.9 eV per cell
V ... 54.1 Å³/cell

Geometry as extended XYZ:
```
4
Lattice="3.617 0.000 0.000 0.000 3.866 0.000 0.000 0.000 3.866" Properties=species:S:1:pos:R:3 pbc="T T T"
Np 1.809 0.000 0.000
Ni 1.809 1.933 1.933
Fe 0.000 1.933 0.000
Fe 0.000 0.000 1.933
```